DFT (PBE-GGA) results for a relaxed structure of VFe2Br.

Results
**Polymorph energy (0 for the lowest one)**: 0.1513 eV/atom
**Space-group type**: I-42d, No. 122
**E**: -5.984 eV per atom
**Uncorrected formation energy**: 0.9455 eV/atom

```
VFe2Br
1.0
5.6728 0.0000 0.0000
0.0000 5.6728 0.0000
0.0000 0.0000 9.5628
V Fe Br
4 8 4
Cartesian
0.0000 0.0000 0.0000
0.0000 2.8364 2.3907
2.8364 0.0000 7.1721
2.8364 2.8364 4.7814
1.3184 1.4182 1.1954
1.4182 4.1548 3.5861
1.4182 4.3544 8.3675
1.5180 1.4182 5.9768
4.1548 4.2546 5.9768
4.2546 1.3184 8.3675
4.2546 1.5180 3.5861
4.3544 4.2546 1.1954
0.0000 0.0000 4.7814
0.0000 2.8364 7.1721
2.8364 0.0000 2.3907
2.8364 2.8364 0.0000
```



DFT (PBE-GGA) results for a relaxed structure of KBa3Sb2O8.

Results
**Space-group type**: P-3m1, No. 164
**E**: -5.827 eV per atom
**Uncorrected formation energy**: -1.9147 eV/atom

```
KBa3Sb2O8
1.0
6.3076 0.0000 0.0000
-3.1538 5.4625 0.0000
0.0000 0.0000 8.1216
K Ba Sb O
1 3 2 8
Cartesian
0.0000 0.0000 0.0000
0.0000 0.0000 4.0608
0.0000 3.6417 1.2372
3.1538 1.8208 6.8845
0.0000 3.6417 5.5883
3.1538 1.8208 2.5333
0.0000 1.8800 6.3919
-1.5257 4.5225 6.3919
0.0000 3.6417 3.6561
1.6281 0.9400 1.7297
1.5257 4.5225 6.3919
3.1538 1.8208 4.4655
4.6795 0.9400 1.7297
3.1538 3.5826 1.7297
```



DFT (PBE-GGA) results for a relaxed structure of Mo3OsC.

Results
**Polymorph energy (0 for the lowest one)**: 2.7516 eV/atom
**Space-group type**: Pm-3m, No. 221
**Formation enthalpy at 0 K**: 2.895 eV/atom
**E**: -7.695 eV per atom

```
Mo3OsC
1.0
4.7221 0.0000 0.0000
0.0000 4.7221 0.0000
0.0000 0.0000 4.7221
Mo Os C
3 1 1
Cartesian
0.0000 0.0000 2.3611
0.0000 2.3611 0.0000
2.3611 0.0000 0.0000
0.0000 0.0000 0.0000
2.3611 2.3611 2.3611
```



DFT (PBE-GGA) results for a relaxed structure of La2ScNiSe5.

Results
**Space-group type**: Cmc2_1, No. 36
**E**: -5.998 eV per atom
**Uncorrected formation energy**: -1.6217 eV/atom

```
La2ScNiSe5
1.0
1.9984 -8.6525 0.0000
1.9984 8.6525 0.0000
0.0000 0.0000 12.2780
La Sc Ni Se
4 2 2 10
Cartesian
1.9984 6.6769 6.1390
1.9984 6.4931 10.5233
1.9984 -6.4931 4.3843
1.9984 -6.6769 0.0000
1.9984 5.5821 2.1999
1.9984 -5.5821 8.3389
1.9984 1.0655 7.1813
1.9984 -1.0655 1.0423
1.9984 8.2523 2.1590
1.9984 3.3624 6.4491
1.9984 3.3425 10.2543
1.9984 2.7931 2.1640
1.9984 0.0268 5.0574
1.9984 -0.0268 11.1964
1.9984 -2.7931 8.3030
1.9984 -3.3425 4.1153
1.9984 -3.3624 0.3101
1.9984 -8.2523 8.2980
```



DFT (PBE-GGA) results for a relaxed structure of TiMnSn2.

Results
**Polymorph energy (0 for the lowest one)**: 0.0000 eV/atom
**Space-group type**: P4/mmm, No. 123
**Formation enthalpy at 0 K**: -0.022 eV/atom
**E**: -6.289 eV per atom

```
TiMnSn2
1.0
4.3734 0.0000 0.0000
0.0000 4.3734 0.0000
0.0000 0.0000 3.9757
Ti Mn Sn
1 1 2
Cartesian
0.0000 0.0000 0.0000
2.1867 2.1867 0.0000
0.0000 2.1867 1.9879
2.1867 0.0000 1.9879
```



DFT (PBE-GGA) results for a relaxed structure of Ca2YZrAu.

Results
**Space-group type**: P4/mmm, No. 123
**Formation enthalpy at 0 K**: 0.798 eV/atom
**E**: -3.661 eV per atom

```
Ca2YZrAu
1.0
5.5876 0.0000 0.0000
0.0000 5.5876 0.0000
0.0000 0.0000 5.3588
Ca Y Zr Au
2 1 1 1
Cartesian
0.0000 2.7938 0.0000
2.7938 0.0000 0.0000
0.0000 0.0000 2.6794
0.0000 0.0000 0.0000
2.7938 2.7938 2.6794
```



Copy entry 4 word for word.
DFT (PBE-GGA) results for a relaxed structure of La2ScNiSe5.

Results
**Space-group type**: Cmc2_1, No. 36
**E**: -5.998 eV per atom
**Uncorrected formation energy**: -1.6217 eV/atom

```
La2ScNiSe5
1.0
1.9984 -8.6525 0.0000
1.9984 8.6525 0.0000
0.0000 0.0000 12.2780
La Sc Ni Se
4 2 2 10
Cartesian
1.9984 6.6769 6.1390
1.9984 6.4931 10.5233
1.9984 -6.4931 4.3843
1.9984 -6.6769 0.0000
1.9984 5.5821 2.1999
1.9984 -5.5821 8.3389
1.9984 1.0655 7.1813
1.9984 -1.0655 1.0423
1.9984 8.2523 2.1590
1.9984 3.3624 6.4491
1.9984 3.3425 10.2543
1.9984 2.7931 2.1640
1.9984 0.0268 5.0574
1.9984 -0.0268 11.1964
1.9984 -2.7931 8.3030
1.9984 -3.3425 4.1153
1.9984 -3.3624 0.3101
1.9984 -8.2523 8.2980
```